1.
Computed, not measured: crystalline Ir3Rh2S8 at its relaxed geometry at the PBE-GGA level of DFT.

abc: 6.155 6.287 6.287
angles: 68.50 85.42 85.42
Element x y z (fractional)
Ir  0.000  0.746  0.254
Ir  0.500  0.000  0.000
Ir  0.000  0.254  0.746
S  0.121  0.626  0.626
S  0.654  0.362  0.887
S  0.654  0.887  0.362
S  0.879  0.374  0.374
S  0.346  0.638  0.113
S  0.346  0.113  0.638
S  0.148  0.116  0.116
S  0.852  0.884  0.884
Rh  0.447  0.718  0.718
Rh  0.553  0.282  0.282

Calculated values
The spin magnetization comes out at 0.0 μB per cell. Its space-group type is No. 12. For the uncorrected formation energy, the calculation gives -339.4 meV per atom. The total energy comes out at -0.445 Ry/atom.

---

2.
Computed, not measured: crystalline Sc2FeAs at its relaxed geometry at the PBE-GGA level of DFT.

abc: 5.649 5.649 5.649
angles: 144.68 136.86 56.93
Site moments in Bohr magnetons follow the coordinates.
Element x y z (fractional)
Sc  0.980  0.980  0.000  -0.08
Sc  0.250  0.750  0.500  -0.20
Fe  0.727  0.227  0.500  1.77
As  0.544  0.544  0.000  0.02

Calculated values
For the energy of formation, the calculation gives -0.473 eV/atom. The spin magnetization comes out at 1.4 μB per cell. Its space-group type is No. 44. The total energy comes out at -0.508 Ry/atom.

---

3.
Computed, not measured: crystalline DyNi2H8Pd at its relaxed geometry at the PBE-GGA level of DFT.

abc: 4.618 4.618 6.067
angles: 90.00 90.00 120.00
Element x y z (fractional)
H  0.333  0.667  0.409
H  0.169  0.831  0.820
H  0.337  0.169  0.180
H  0.667  0.333  0.591
H  0.663  0.831  0.820
H  0.169  0.337  0.820
H  0.831  0.169  0.180
H  0.831  0.663  0.180
Ni  0.333  0.667  0.663
Ni  0.667  0.333  0.337
Pd  0.000  0.000  0.000
Dy  0.000  0.000  0.500

Calculated values
The spin magnetization comes out at 0.0 μB per cell. Its space-group type is No. 164. The total energy comes out at -0.300 Ry/atom.

---

Please write out number 1 again, unchanged.
Computed, not measured: crystalline Ir3Rh2S8 at its relaxed geometry at the PBE-GGA level of DFT.

abc: 6.155 6.287 6.287
angles: 68.50 85.42 85.42
Element x y z (fractional)
Ir  0.000  0.746  0.254
Ir  0.500  0.000  0.000
Ir  0.000  0.254  0.746
S  0.121  0.626  0.626
S  0.654  0.362  0.887
S  0.654  0.887  0.362
S  0.879  0.374  0.374
S  0.346  0.638  0.113
S  0.346  0.113  0.638
S  0.148  0.116  0.116
S  0.852  0.884  0.884
Rh  0.447  0.718  0.718
Rh  0.553  0.282  0.282

Calculated values
The spin magnetization comes out at 0.0 μB per cell. Its space-group type is No. 12. For the uncorrected formation energy, the calculation gives -339.4 meV per atom. The total energy comes out at -0.445 Ry/atom.

---

> Look up the spin magnetization of the second one.

1.4 μB per cell

---

> spin magnetization of number 2 (Sc2FeAs)?

1.4 μB per cell